16
Lattice="5.0614 0.0000 0.0000 0.0000 5.0614 0.0000 0.0000 0.0000 20.2770" Properties=species:S:1:pos:R:3 comment="La3Tb12Mg, optimized geometry, DFT GGA-PBE" dos_at_fermi_per_ev_atom=1.51 ef_ev_per_atom=0.03 magnetic_moment_mub_per_cell=0.00 pbc="T T T"
La 0.0000 0.0000 0.0000
La 0.0000 0.0000 5.1248
La 0.0000 0.0000 15.1522
Tb 0.0000 2.5307 2.5732
Tb 0.0000 2.5307 7.7035
Tb 0.0000 2.5307 12.5735
Tb 0.0000 2.5307 17.7038
Tb 2.5307 0.0000 2.5732
Tb 2.5307 0.0000 7.7035
Tb 2.5307 0.0000 12.5735
Tb 2.5307 0.0000 17.7038
Tb 2.5307 2.5307 0.0000
Tb 2.5307 2.5307 5.2060
Tb 2.5307 2.5307 10.1385
Tb 2.5307 2.5307 15.0710
Mg 0.0000 0.0000 10.1385